Record 1
The following is a GGA-PBE calculation of LaCu2Pt after structural relaxation, from Alexandria.

Unit cell a=5.5597 b=9.2421 c=4.1253 alpha=90.00 beta=131.71 gamma=90.00
Last column: nearest neighbours and their distance in Å.
Space group C2/m (No. 12)
One atom of each set of equivalent atoms:
La 0.0000 0.0000 0.0000 (multiplicity 2)  4 Cu 2.78, 4 Pt 2.78-3.08
Cu 0.2500 0.2500 0.5000 (multiplicity 4)  2 La 2.78, 2 Pt 2.78, 4 Cu 2.78-3.08
Pt 0.0000 0.5000 0.0000 (multiplicity 2)  4 Cu 2.78, 4 La 2.78-3.08

Results
Calculated volume: 19.78 A^3/atom
E_form: -0.776 eV per formula unit
Size of the total moment: 0.000 μB per atom
Calculated total energy: -4.98 eV per atom
ΔE to the lowest computed polymorph: 326 meV per atom

Record 2
The following is a GGA-PBE calculation of ZnCo2Rh after structural relaxation, from Alexandria.

Unit cell a=8.7847 b=2.7230 c=4.3302 alpha=90.00 beta=103.08 gamma=90.00
Last column: nearest neighbours and their distance in Å.
Space group C2/m (No. 12)
One atom of each set of equivalent atoms:
Zn 0.0000 0.0000 0.0000 (multiplicity 2)  4 Rh 2.56, 6 Co 2.61-2.65, 2 Zn 2.72
Co 0.2483 0.0000 0.7488 (multiplicity 4)  6 Co 2.55-2.72, 3 Rh 2.59-2.67, 3 Zn 2.61-2.65
Rh 0.0000 0.5000 0.5000 (multiplicity 2)  4 Zn 2.56, 6 Co 2.59-2.67, 2 Rh 2.72

Results
Calculated volume: 12.61 A^3/atom
E_form: 0.012 eV per formula unit
Size of the total moment: 0.913 μB per atom
Calculated total energy: -5.71 eV per atom

Record 3
The following is a GGA-PBE calculation of BaAc2Sn after structural relaxation, from Alexandria.

Unit cell a=4.5306 b=4.5306 c=36.1265 alpha=90.00 beta=90.00 gamma=120.00
Last column: nearest neighbours and their distance in Å.
Space group R-3m (No. 166, hexagonal axes)
One atom of each set of equivalent atoms:
Ba 0.0000 0.0000 0.0000 (multiplicity 3)  2 Ac 4.06, 6 Ba 4.53
Ac 0.0000 0.0000 0.1125 (multiplicity 6)  3 Sn 3.27
Sn 0.0000 0.0000 0.5000 (multiplicity 3)  6 Ac 3.27

Results
Calculated volume: 53.52 A^3/atom
E_form: -0.193 eV per formula unit
Size of the total moment: 0.000 μB per atom
Calculated total energy: -3.58 eV per atom
ΔE to the lowest computed polymorph: 272 meV per atom

What is the size of the total moment in the second record?
0.913 μB per atom

Repeat the third record exactly.
The following is a GGA-PBE calculation of BaAc2Sn after structural relaxation, from Alexandria.

Unit cell a=4.5306 b=4.5306 c=36.1265 alpha=90.00 beta=90.00 gamma=120.00
Last column: nearest neighbours and their distance in Å.
Space group R-3m (No. 166, hexagonal axes)
One atom of each set of equivalent atoms:
Ba 0.0000 0.0000 0.0000 (multiplicity 3)  2 Ac 4.06, 6 Ba 4.53
Ac 0.0000 0.0000 0.1125 (multiplicity 6)  3 Sn 3.27
Sn 0.0000 0.0000 0.5000 (multiplicity 3)  6 Ac 3.27

Results
Calculated volume: 53.52 A^3/atom
E_form: -0.193 eV per formula unit
Size of the total moment: 0.000 μB per atom
Calculated total energy: -3.58 eV per atom
ΔE to the lowest computed polymorph: 272 meV per atom

Look up the calculated total energy of the third one.
-3.58 eV per atom